# KCrO3 | Alexandria via LeMat-Bulk | GGA+U | relaxed
data_KCrO3
_symmetry_space_group_name_H-M 'P m -3 m'
_symmetry_Int_Tables_number 221
_symmetry_space_group_name_Hall '-P 4 2 3'
_cell_length_a 3.8016
_cell_length_b 3.8016
_cell_length_c 3.8016
_cell_angle_alpha 90.00
_cell_angle_beta 90.00
_cell_angle_gamma 90.00
loop_
_atom_site_label
_atom_site_fract_x
_atom_site_fract_y
_atom_site_fract_z
K1 0.0000 0.0000 0.0000
Cr1 0.5000 0.5000 0.5000
O1 0.0000 0.5000 0.5000
# Total energy = -5.967 eV/atom
# Spin magnetization = 1.00 μB per formula unit
# Crystal system = cubic